## P
First-principles (GGA-PBE) data for Na2PuS4 after structural relaxation, as listed in the Alexandria database.

Geometry as POSCAR:
```
Na2PuS4
1.0
-3.9473 4.0110 6.0322
3.9473 -4.0110 6.0322
3.9473 4.0110 -6.0322
Na Pu S
4 2 8
Direct
0.0000 0.0000 0.5000
0.0000 0.5000 0.0000
0.3893 0.1393 0.2500
0.6107 0.8607 0.7500
0.0000 0.5000 0.5000
0.5000 0.5000 0.0000
0.2024 0.7043 0.4981
0.2483 0.2831 0.5349
0.2483 0.7134 0.9651
0.2938 0.2957 0.9981
0.7062 0.7043 0.0019
0.7517 0.2866 0.0349
0.7517 0.7169 0.4651
0.7976 0.2957 0.5019
```

Properties
- Space-group type: Imma (74)

---

## Q
First-principles (GGA-PBE) data for Na2PuS4 after structural relaxation, as listed in the Alexandria database.

Geometry as POSCAR:
```
Na2PuS4
1.0
-4.4704 4.4704 3.9489
4.4704 -4.4704 3.9489
4.4704 4.4704 -3.9489
Na Pu S
4 2 8
Direct
0.0152 0.6250 0.8902
0.3750 0.2652 0.3902
0.7348 0.1250 0.1098
0.8750 0.9848 0.6098
0.2500 0.7500 0.5000
0.5000 0.5000 0.0000
0.1723 0.4318 0.6388
0.1818 0.4223 0.1388
0.2834 0.0430 0.8612
0.4666 0.8277 0.2595
0.5682 0.2070 0.7405
0.5777 0.7166 0.7595
0.7930 0.5334 0.3612
0.9570 0.8182 0.2405
```

Properties
- Space-group type: I-42d (122)

---

Most stable = P

---

## P
First-principles (GGA-PBE) data for NaPu2Tc after structural relaxation, as listed in the Alexandria database.

Geometry as POSCAR:
```
NaPu2Tc
1.0
3.2391 0.0000 0.0000
-1.6195 2.8051 0.0000
0.0000 0.0000 33.6697
Na Pu Tc
3 6 3
Direct
0.0000 0.0000 0.0000
0.3333 0.6667 0.6667
0.6667 0.3333 0.3333
0.0000 0.0000 0.1032
0.0000 0.0000 0.8968
0.3333 0.6667 0.5635
0.3333 0.6667 0.7699
0.6667 0.3333 0.2301
0.6667 0.3333 0.4365
0.0000 0.0000 0.5000
0.3333 0.6667 0.1667
0.6667 0.3333 0.8333
```

Properties
- Space-group type: R-3m (166)

---

## Q
First-principles (GGA-PBE) data for NaPu2Tc after structural relaxation, as listed in the Alexandria database.

Geometry as POSCAR:
```
NaPu2Tc
1.0
3.2195 0.0000 0.0000
0.0000 3.2195 0.0000
0.0000 0.0000 9.7178
Na Pu Tc
1 2 1
Direct
0.0000 0.0000 0.0000
0.5000 0.5000 0.3151
0.5000 0.5000 0.6849
0.0000 0.0000 0.5000
```

Properties
- Space-group type: P4/mmm (123)

---

Most stable = Q

---

## P
First-principles (GGA-PBE) data for RbNa4 after structural relaxation, as listed in the Alexandria database.

Geometry as POSCAR:
```
RbNa4
1.0
6.8229 0.0000 0.0000
0.0000 6.8229 0.0000
0.0000 0.0000 6.8229
Rb Na
1 4
Direct
0.0000 0.0000 0.0000
0.0000 0.0000 0.5000
0.0000 0.5000 0.0000
0.5000 0.0000 0.0000
0.5000 0.5000 0.5000
```

Properties
- Space-group type: Pm-3m (221)

---

## Q
First-principles (GGA-PBE) data for RbNa4 after structural relaxation, as listed in the Alexandria database.

Geometry as POSCAR:
```
RbNa4
1.0
5.5456 0.0000 0.0000
0.0000 5.5456 0.0000
0.0000 0.0000 15.7871
Rb Na
2 8
Direct
0.0000 0.0000 0.0000
0.5000 0.5000 0.5000
0.0000 0.0000 0.3905
0.0000 0.0000 0.6095
0.0000 0.5000 0.2500
0.0000 0.5000 0.7500
0.5000 0.0000 0.2500
0.5000 0.0000 0.7500
0.5000 0.5000 0.1095
0.5000 0.5000 0.8905
```

Properties
- Space-group type: I4/mmm (139)

---

Most stable = Q

---

## P
First-principles (GGA-PBE) data for RbNa5 after structural relaxation, as listed in the Alexandria database.

Geometry as POSCAR:
```
RbNa5
1.0
6.1230 0.0000 0.0000
-3.0615 5.3027 0.0000
0.0000 0.0000 8.5489
Rb Na
1 5
Direct
0.0000 0.0000 0.0000
0.0000 0.0000 0.5000
0.3333 0.6667 0.2931
0.3333 0.6667 0.7069
0.6667 0.3333 0.2931
0.6667 0.3333 0.7069
```

Properties
- Space-group type: P6/mmm (191)

---

## Q
First-principles (GGA-PBE) data for RbNa5 after structural relaxation, as listed in the Alexandria database.

Geometry as POSCAR:
```
RbNa5
1.0
7.3655 0.0000 0.0000
-3.6828 6.3787 0.0000
0.0000 0.0000 5.9490
Rb Na
1 5
Direct
0.0000 0.0000 0.0000
0.0000 0.5000 0.5000
0.3333 0.6667 0.0000
0.5000 0.0000 0.5000
0.5000 0.5000 0.5000
0.6667 0.3333 0.0000
```

Properties
- Space-group type: P6/mmm (191)

---

Most stable = Q

---

## P
First-principles (GGA-PBE) data for RbNa6 after structural relaxation, as listed in the Alexandria database.

Geometry as POSCAR:
```
RbNa6
1.0
5.7485 0.0000 0.0000
0.0000 5.7485 0.0000
0.0000 0.0000 9.9390
Rb Na
1 6
Direct
0.0000 0.0000 0.0000
0.0000 0.0000 0.5000
0.0000 0.5000 0.2982
0.0000 0.5000 0.7018
0.5000 0.0000 0.2982
0.5000 0.0000 0.7018
0.5000 0.5000 0.0000
```

Properties
- Space-group type: P4/mmm (123)

---

## Q
First-principles (GGA-PBE) data for RbNa6 after structural relaxation, as listed in the Alexandria database.

Geometry as POSCAR:
```
RbNa6
1.0
9.1699 0.0000 0.0000
0.0000 9.1699 0.0000
0.0000 0.0000 9.1699
Rb Na
2 12
Direct
0.0000 0.0000 0.0000
0.5000 0.5000 0.5000
0.0000 0.2500 0.5000
0.0000 0.5000 0.2500
0.0000 0.5000 0.7500
0.0000 0.7500 0.5000
0.2500 0.0000 0.5000
0.2500 0.5000 0.0000
0.5000 0.0000 0.2500
0.5000 0.0000 0.7500
0.5000 0.2500 0.0000
0.5000 0.7500 0.0000
0.7500 0.0000 0.5000
0.7500 0.5000 0.0000
```

Properties
- Space-group type: Im-3m (229)

---

Most stable = P

---

## P
First-principles (GGA-PBE) data for Rb6Na after structural relaxation, as listed in the Alexandria database.

Geometry as POSCAR:
```
Rb6Na
1.0
9.0177 0.0000 0.0000
-4.5088 7.8095 0.0000
0.0000 0.0000 8.6116
Rb Na
6 1
Direct
0.0000 0.3620 0.2391
0.0000 0.6380 0.7609
0.3620 0.0000 0.2391
0.3620 0.3620 0.7609
0.6380 0.0000 0.7609
0.6380 0.6380 0.2391
0.0000 0.0000 0.5000
```

Properties
- Space-group type: P-31m (162)

---

## Q
First-principles (GGA-PBE) data for Rb6Na after structural relaxation, as listed in the Alexandria database.

Geometry as POSCAR:
```
Rb6Na
1.0
12.1582 0.0000 0.0000
0.0000 12.1582 0.0000
0.0000 0.0000 12.1582
Rb Na
12 2
Direct
0.0000 0.2500 0.5000
0.0000 0.5000 0.2500
0.0000 0.5000 0.7500
0.0000 0.7500 0.5000
0.2500 0.0000 0.5000
0.2500 0.5000 0.0000
0.5000 0.0000 0.2500
0.5000 0.0000 0.7500
0.5000 0.2500 0.0000
0.5000 0.7500 0.0000
0.7500 0.0000 0.5000
0.7500 0.5000 0.0000
0.0000 0.0000 0.0000
0.5000 0.5000 0.5000
```

Properties
- Space-group type: Im-3m (229)

---

## R
First-principles (GGA-PBE) data for Rb6Na after structural relaxation, as listed in the Alexandria database.

Geometry as POSCAR:
```
Rb6Na
1.0
7.5301 0.0000 0.0000
0.0000 7.5301 0.0000
0.0000 0.0000 10.8273
Rb Na
6 1
Direct
0.0000 0.0000 0.0000
0.0000 0.5000 0.2479
0.0000 0.5000 0.7521
0.5000 0.0000 0.2479
0.5000 0.0000 0.7521
0.5000 0.5000 0.5000
0.5000 0.5000 0.0000
```

Properties
- Space-group type: P4/mmm (123)

---

Most stable = P

---

## P
First-principles (GGA-PBE) data for RbNa3Re after structural relaxation, as listed in the Alexandria database.

Geometry as POSCAR:
```
RbNa3Re
1.0
6.1122 0.0000 0.0000
0.0000 6.1122 0.0000
0.0000 0.0000 6.1122
Rb Na Re
1 3 1
Direct
0.0000 0.0000 0.0000
0.0000 0.0000 0.5000
0.0000 0.5000 0.0000
0.5000 0.0000 0.0000
0.5000 0.5000 0.5000
```

Properties
- Space-group type: Pm-3m (221)

---

## Q
First-principles (GGA-PBE) data for RbNa3Re after structural relaxation, as listed in the Alexandria database.

Geometry as POSCAR:
```
RbNa3Re
1.0
6.0627 0.0000 0.0000
0.0000 6.0627 0.0000
0.0000 0.0000 6.0627
Rb Na Re
1 3 1
Direct
0.0000 0.0000 0.0000
0.0000 0.5000 0.5000
0.5000 0.0000 0.5000
0.5000 0.5000 0.0000
0.5000 0.5000 0.5000
```

Properties
- Space-group type: Pm-3m (221)

---

Most stable = Q

---

## P
First-principles (GGA-PBE) data for RbNaRe3 after structural relaxation, as listed in the Alexandria database.

Geometry as POSCAR:
```
RbNaRe3
1.0
4.8751 0.0000 0.0000
0.0000 4.8751 0.0000
0.0000 0.0000 4.8751
Rb Na Re
1 1 3
Direct
0.0000 0.0000 0.0000
0.5000 0.5000 0.5000
0.0000 0.5000 0.5000
0.5000 0.0000 0.5000
0.5000 0.5000 0.0000
```

Properties
- Space-group type: Pm-3m (221)

---

## Q
First-principles (GGA-PBE) data for RbNaRe3 after structural relaxation, as listed in the Alexandria database.

Geometry as POSCAR:
```
RbNaRe3
1.0
4.8072 0.0000 0.0000
0.0000 4.8072 0.0000
0.0000 0.0000 4.8072
Rb Na Re
1 1 3
Direct
0.0000 0.0000 0.0000
0.5000 0.5000 0.5000
0.0000 0.0000 0.5000
0.0000 0.5000 0.0000
0.5000 0.0000 0.0000
```

Properties
- Space-group type: Pm-3m (221)

---

Most stable = P

---

## P
First-principles (GGA-PBE) data for Rb2Na2Rh after structural relaxation, as listed in the Alexandria database.

Geometry as POSCAR:
```
Rb2Na2Rh
1.0
5.1938 0.0000 0.0000
0.0000 5.1938 0.0000
0.0000 0.0000 14.9687
Rb Na Rh
4 4 2
Direct
0.0000 0.5000 0.2500
0.0000 0.5000 0.7500
0.5000 0.0000 0.2500
0.5000 0.0000 0.7500
0.0000 0.0000 0.0827
0.0000 0.0000 0.9173
0.5000 0.5000 0.4173
0.5000 0.5000 0.5827
0.0000 0.0000 0.5000
0.5000 0.5000 0.0000
```

Properties
- Space-group type: I4/mmm (139)

---

## Q
First-principles (GGA-PBE) data for Rb2Na2Rh after structural relaxation, as listed in the Alexandria database.

Geometry as POSCAR:
```
Rb2Na2Rh
1.0
7.7878 0.0000 0.0000
0.0000 7.7878 0.0000
0.0000 0.0000 6.1930
Rb Na Rh
4 4 2
Direct
0.1921 0.3079 0.0000
0.3079 0.8079 0.0000
0.6921 0.1921 0.0000
0.8079 0.6921 0.0000
0.1621 0.6621 0.5000
0.3379 0.1621 0.5000
0.6621 0.8379 0.5000
0.8379 0.3379 0.5000
0.0000 0.0000 0.5000
0.5000 0.5000 0.5000
```

Properties
- Space-group type: P4/mbm (127)

---

Most stable = Q

---

## P
First-principles (GGA-PBE) data for RbNaSr2Rh after structural relaxation, as listed in the Alexandria database.

Geometry as POSCAR:
```
RbNaSr2Rh
1.0
5.8650 0.0000 0.0000
0.0000 5.8650 0.0000
0.0000 0.0000 6.1779
Rb Na Sr Rh
1 1 2 1
Direct
0.0000 0.0000 0.0000
0.5000 0.5000 0.0000
0.0000 0.5000 0.5000
0.5000 0.0000 0.5000
0.5000 0.5000 0.5000
```

Properties
- Space-group type: P4/mmm (123)

---

## Q
First-principles (GGA-PBE) data for RbNaSr2Rh after structural relaxation, as listed in the Alexandria database.

Geometry as POSCAR:
```
RbNaSr2Rh
1.0
5.8331 0.0000 0.0000
0.0000 5.8331 0.0000
0.0000 0.0000 6.6695
Rb Na Sr Rh
1 1 2 1
Direct
0.0000 0.0000 0.0000
0.5000 0.5000 0.0000
0.0000 0.5000 0.5000
0.5000 0.0000 0.5000
0.0000 0.0000 0.5000
```

Properties
- Space-group type: P4/mmm (123)

---

Most stable = P

---

## P
First-principles (GGA-PBE) data for RbNa2S2 after structural relaxation, as listed in the Alexandria database.

Geometry as POSCAR:
```
RbNa2S2
1.0
4.7091 0.0000 0.0000
0.0000 4.7091 0.0000
0.0000 0.0000 12.0084
Rb Na S
2 4 4
Direct
0.0000 0.0000 0.0000
0.5000 0.5000 0.5000
0.0000 0.5000 0.2500
0.0000 0.5000 0.7500
0.5000 0.0000 0.2500
0.5000 0.0000 0.7500
0.0000 0.0000 0.3756
0.0000 0.0000 0.6244
0.5000 0.5000 0.1244
0.5000 0.5000 0.8756
```

Properties
- Space-group type: I4/mmm (139)

---

## Q
First-principles (GGA-PBE) data for RbNa2S2 after structural relaxation, as listed in the Alexandria database.

Geometry as POSCAR:
```
RbNa2S2
1.0
8.6294 0.0000 0.0000
0.0000 8.6294 0.0000
0.0000 0.0000 3.2954
Rb Na S
2 4 4
Direct
0.0000 0.0000 0.0000
0.5000 0.5000 0.0000
0.1254 0.3746 0.5000
0.3746 0.8746 0.5000
0.6254 0.1254 0.5000
0.8746 0.6254 0.5000
0.1660 0.6660 0.0000
0.3340 0.1660 0.0000
0.6660 0.8340 0.0000
0.8340 0.3340 0.0000
```

Properties
- Space-group type: P4/mbm (127)

---

Most stable = P

---

## P
First-principles (GGA-PBE) data for RbNa3S after structural relaxation, as listed in the Alexandria database.

Geometry as POSCAR:
```
RbNa3S
1.0
6.1710 0.0000 0.0000
0.0000 6.1710 0.0000
0.0000 0.0000 6.1710
Rb Na S
1 3 1
Direct
0.0000 0.0000 0.0000
0.0000 0.0000 0.5000
0.0000 0.5000 0.0000
0.5000 0.0000 0.0000
0.5000 0.5000 0.5000
```

Properties
- Space-group type: Pm-3m (221)

---

## Q
First-principles (GGA-PBE) data for RbNa3S after structural relaxation, as listed in the Alexandria database.

Geometry as POSCAR:
```
RbNa3S
1.0
5.6941 0.0000 0.0000
0.0000 5.6941 0.0000
0.0000 0.0000 5.6941
Rb Na S
1 3 1
Direct
0.0000 0.0000 0.0000
0.0000 0.5000 0.5000
0.5000 0.0000 0.5000
0.5000 0.5000 0.0000
0.5000 0.5000 0.5000
```

Properties
- Space-group type: Pm-3m (221)

---

Most stable = Q